Zr3Tl2Cd (PBE-GGA, relaxed); DFT total energy = -5.298 eV per atom; volume = 22.499 Å³ per atom; DOS(E_F) = 5.43 states/eV/cell
1.0
-0.735 -1.421 2.772
3.104 -0.092 0.776
-1.091 11.802 5.759
Tl Zr Cd
2 3 1
Cartesian
0.277 9.064 6.566 Tl
1.001 1.226 2.741 Tl
-0.367 3.968 1.936 Zr
-0.724 7.834 3.823 Zr
0.000 0.000 0.000 Zr
0.639 5.145 4.654 Cd